Record 1
A geometry-optimized TiMoN2F structure. Source: the Alexandria database, functional GGA-PBEsol.

The total energy comes out at -0.6047 Ry/atom. Its total magnetization is 1.83 μB/cell. The calculation puts the uncorrected formation energy at -413.8 meV/atom.

It has space group P4/mmm (No. 123), with a = 3.923 Å, b = 3.923 Å, c = 3.863 Å, α = 90.00°, β = 90.00° and γ = 90.00°. The distinct sites, in fractional coordinates, are Ti at (0.000, 0.000, 0.000), Mo at (0.500, 0.500, 0.500), N at (0.000, 0.500, 0.500) and F at (0.500, 0.500, 0.000).

Record 2
A geometry-optimized Na3MoO3F3 structure. Source: the Alexandria database, functional GGA-PBEsol.

The total energy comes out at -0.4553 Ry/atom. Its total magnetization is 0.40 μB/cell. The calculation puts the uncorrected formation energy at -2445.0 meV/atom.

It has space group R3 (No. 146, hexagonal axes), with a = 5.6002 Å, b = 5.6002 Å, c = 14.6015 Å, α = 90.00°, β = 90.00° and γ = 120.00°. The distinct sites, in fractional coordinates, are Na at (0.0000, 0.0000, 0.0000), Na at (0.0000, 0.0000, 0.2190), Na at (0.0000, 0.0000, 0.5017), Mo at (0.0000, 0.0000, 0.7277), O at (0.0303, 0.4083, 0.4452) and F at (0.0810, 0.6927, 0.2918).

Record 3
A geometry-optimized NaMoO3F structure. Source: the Alexandria database, functional GGA-PBEsol.

The total energy comes out at -0.5416 Ry/atom. Its total magnetization is 0.00 μB/cell. The calculation puts the uncorrected formation energy at -2228.4 meV/atom.

It has space group P2_1/m (No. 11), with a = 6.507 Å, b = 3.683 Å, c = 7.217 Å, α = 90.00°, β = 110.37° and γ = 90.00°. The distinct sites, in fractional coordinates, are Na at (0.097, 0.250, 0.206), Mo at (0.395, 0.250, 0.785), O at (0.212, 0.250, 0.551), O at (0.358, 0.750, 0.252), O at (0.408, 0.750, 0.870) and F at (0.136, 0.250, 0.898).

Record 4
A geometry-optimized Na3MoO4F structure. Source: the Alexandria database, functional GGA-PBEsol.

The total energy comes out at -0.4793 Ry/atom. Its total magnetization is 0.25 μB/cell. The calculation puts the uncorrected formation energy at -2200.1 meV/atom.

It has space group Pnma (No. 62), with a = 5.549 Å, b = 7.483 Å, c = 12.827 Å, α = 90.00°, β = 90.00° and γ = 90.00°. The distinct sites, in fractional coordinates, are Na at (0.226, 0.037, 0.179), Na at (0.226, 0.750, 0.895), Mo at (0.208, 0.750, 0.416), O at (0.112, 0.250, 0.581), O at (0.179, 0.250, 0.044), O at (0.189, 0.058, 0.850) and F at (0.004, 0.750, 0.732).

Record 5
A geometry-optimized Rb2NaMoF6 structure. Source: the Alexandria database, functional GGA-PBEsol.

The total energy comes out at -0.3906 Ry/atom. Its total magnetization is 12.00 μB/cell. The calculation puts the uncorrected formation energy at -2636.7 meV/atom.

It has space group Fm-3m (No. 225), with a = 8.582 Å, b = 8.582 Å, c = 8.582 Å, α = 90.00°, β = 90.00° and γ = 90.00°. The distinct sites, in fractional coordinates, are Rb at (0.250, 0.250, 0.250), Na at (0.000, 0.000, 0.000), Mo at (0.000, 0.000, 0.500) and F at (0.000, 0.000, 0.262).

Record 6
A geometry-optimized NaTl2MoF6 structure. Source: the Alexandria database, functional GGA-PBEsol.

The total energy comes out at -0.3799 Ry/atom. Its total magnetization is 12.00 μB/cell. The calculation puts the uncorrected formation energy at -2170.0 meV/atom.

It has space group Fm-3m (No. 225), with a = 8.562 Å, b = 8.562 Å, c = 8.562 Å, α = 90.00°, β = 90.00° and γ = 90.00°. The distinct sites, in fractional coordinates, are Na at (0.000, 0.000, 0.000), Tl at (0.250, 0.250, 0.250), Mo at (0.000, 0.000, 0.500) and F at (0.000, 0.000, 0.261).

Record 7
A geometry-optimized NbMoO2F structure. Source: the Alexandria database, functional GGA-PBEsol.

The total energy comes out at -0.5738 Ry/atom. Its total magnetization is 3.02 μB/cell. The calculation puts the uncorrected formation energy at -803.8 meV/atom.

It has space group P4/mmm (No. 123), with a = 3.910 Å, b = 3.910 Å, c = 4.082 Å, α = 90.00°, β = 90.00° and γ = 90.00°. The distinct sites, in fractional coordinates, are Nb at (0.000, 0.000, 0.000), Mo at (0.500, 0.500, 0.500), O at (0.000, 0.500, 0.500) and F at (0.500, 0.500, 0.000).

Record 8
A geometry-optimized NbMoPbF2 structure. Source: the Alexandria database, functional GGA-PBEsol.

The total energy comes out at -0.4950 Ry/atom. Its total magnetization is 0.00 μB/cell. The calculation puts the uncorrected formation energy at -645.8 meV/atom.

It has space group P4/mmm (No. 123), with a = 4.031 Å, b = 4.031 Å, c = 5.255 Å, α = 90.00°, β = 90.00° and γ = 90.00°. The distinct sites, in fractional coordinates, are Nb at (0.000, 0.000, 0.000), Mo at (0.000, 0.000, 0.500), Pb at (0.500, 0.500, 0.000) and F at (0.000, 0.500, 0.500).